[1]
## Sr3Al (PBE)

Data for a relaxed Sr3Al crystal.

Summary:
ΔH_f (0 K) ... 0.035 eV per atom

Unit cell a=5.8918 b=6.9300 c=7.6665 alpha=90.00 beta=90.00 gamma=90.00
Last column: nearest neighbours and their distance in Å.
Atoms (fractional coordinates):
Sr  0.0000  0.1564  0.2529  3 Al 3.62-3.65, 7 Sr 3.66-3.89
Sr  0.0000  0.6078  0.5000  6 Sr 3.66-3.89, 4 Al 3.68-3.90
Al  0.5000  0.2903  0.5000  10 Sr 3.62-3.90
Al  0.0000  0.7097  0.0000  10 Sr 3.62-3.90
Sr  0.5000  0.3922  0.0000  6 Sr 3.66-3.89, 4 Al 3.68-3.90
Sr  0.0000  0.1564  0.7471  3 Al 3.62-3.65, 7 Sr 3.66-3.89
Sr  0.5000  0.8436  0.7529  3 Al 3.62-3.65, 7 Sr 3.66-3.89
Sr  0.5000  0.8436  0.2471  3 Al 3.62-3.65, 7 Sr 3.66-3.89

[2]
## V2FeRuPb (PBE)

Data for a relaxed V2FeRuPb crystal.

Summary:
ΔH_f (0 K) ... 1.284 eV per atom

Unit cell a=4.5733 b=5.1416 c=4.5733 alpha=90.00 beta=90.00 gamma=90.00
Last column: nearest neighbours and their distance in Å.
Atoms (fractional coordinates):
Fe  0.5000  0.5000  0.5000  4 Pb 3.23, 8 V 3.44
Ru  0.0000  0.0000  0.0000  4 V 2.29
V  0.5000  0.0000  0.0000  2 Ru 2.29
V  0.0000  0.0000  0.5000  2 Ru 2.29
Pb  0.0000  0.5000  0.0000  2 Ru 2.57

[3]
## PuAl2Re (PBE)

Data for a relaxed PuAl2Re crystal.

Summary:
ΔH_f (0 K) ... -0.111 eV per atom

Unit cell a=3.0830 b=3.0830 c=7.5217 alpha=90.00 beta=90.00 gamma=90.00
Last column: nearest neighbours and their distance in Å.
Atoms (fractional coordinates):
Al  0.0000  0.0000  0.8065  4 Re 2.62, 1 Al 2.91
Al  0.0000  0.0000  0.1935  4 Re 2.62, 1 Al 2.91
Re  0.5000  0.5000  0.0000  8 Al 2.62
Pu  0.5000  0.5000  0.5000  4 Pu 3.08, 8 Al 3.17

[4]
## HfBiP2S (PBE)

Data for a relaxed HfBiP2S crystal.

Summary:
Formation energy from raw total energies ... 12 meV/atom
Excess energy over the best structure of this formula in the dataset ... 0.0 kJ/mol of atoms

Unit cell a=5.0708 b=5.0708 c=4.8016 alpha=90.00 beta=90.00 gamma=90.00
Last column: nearest neighbours and their distance in Å.
Atoms (fractional coordinates):
P  0.5000  0.0000  0.0000  2 Hf 2.54
Bi  0.5000  0.5000  0.5000  8 P 3.49, 4 S 3.59
S  0.0000  0.0000  0.5000  2 Hf 2.40
P  0.0000  0.5000  0.0000  2 Hf 2.54
Hf  0.0000  0.0000  0.0000  2 S 2.40, 4 P 2.54

[5]
## Ba2NiHgC (PBE)

Data for a relaxed Ba2NiHgC crystal.

Summary:
Excess energy over the best structure of this formula in the dataset ... 0.0 kJ/mol of atoms
ΔH_f (0 K) ... -0.047 eV per atom

Unit cell a=5.9849 b=5.9849 c=3.6962 alpha=90.00 beta=90.00 gamma=90.00
Last column: nearest neighbours and their distance in Å.
Atoms (fractional coordinates):
Hg  0.5000  0.5000  0.5000  8 Ba 3.52, 2 Hg 3.70
C  0.0000  0.0000  0.0000  2 Ni 1.85
Ni  0.0000  0.0000  0.5000  2 C 1.85
Ba  0.5000  0.0000  0.0000  2 C 2.99
Ba  0.0000  0.5000  0.0000  2 C 2.99

[6]
## CoRh2W (PBE)

Data for a relaxed CoRh2W crystal.

Summary:
Excess energy over the best structure of this formula in the dataset ... 25.7 kJ/mol of atoms
ΔH_f (0 K) ... 0.126 eV per atom

Unit cell a=4.3032 b=4.3032 c=4.3032 alpha=60.00 beta=60.00 gamma=60.00
Last column: nearest neighbours and their distance in Å.
Atoms (fractional coordinates):
Rh  0.7500  0.7500  0.7500  4 W 2.64, 4 Co 2.64
W  0.5000  0.5000  0.5000  8 Rh 2.64
Rh  0.2500  0.2500  0.2500  4 W 2.64, 4 Co 2.64
Co  0.0000  0.0000  0.0000  8 Rh 2.64

[7]
## Hf3Zr3TcN8 (PBE)

Data for a relaxed Hf3Zr3TcN8 crystal.

Summary:
Formation energy from raw total energies ... -1435 meV/atom

Unit cell a=6.3754 b=6.3755 c=6.3742 alpha=120.01 beta=90.00 gamma=120.00
Last column: nearest neighbours and their distance in Å.
Atoms (fractional coordinates):
N  0.7559  0.5118  0.2617  1 Tc 2.20, 2 Hf 2.23, 2 Zr 2.28
N  0.2528  0.5056  0.2584  3 Hf 2.23, 3 Zr 2.28
Hf  0.5000  0.0000  0.5000  6 N 2.23
Zr  0.0000  0.5000  0.0000  6 N 2.28
N  0.2441  0.9942  0.7383  1 Tc 2.20, 2 Hf 2.23, 2 Zr 2.28
Zr  0.0000  0.0000  0.0000  6 N 2.28
Tc  0.0000  0.0000  0.5000  6 N 2.20
N  0.7472  0.4944  0.7416  3 Hf 2.23, 3 Zr 2.28
Zr  0.5000  0.5000  0.0000  6 N 2.28
N  0.7559  0.0058  0.2617  1 Tc 2.20, 2 Hf 2.23, 2 Zr 2.28
N  0.7501  0.9942  0.7383  1 Tc 2.20, 2 Hf 2.23, 2 Zr 2.28
N  0.2441  0.4882  0.7383  1 Tc 2.20, 2 Hf 2.23, 2 Zr 2.28
Hf  0.5000  0.5000  0.5000  6 N 2.23
Hf  0.0000  0.5000  0.5000  6 N 2.23
N  0.2499  0.0058  0.2617  1 Tc 2.20, 2 Hf 2.23, 2 Zr 2.28

[8]
## TlZnTe (PBE)

Data for a relaxed TlZnTe crystal.

Summary:
Formation energy from raw total energies ... -6 meV/atom
Excess energy over the best structure of this formula in the dataset ... 15.4 kJ/mol of atoms

Unit cell a=6.4535 b=6.4535 c=6.4535 alpha=144.76 beta=144.76 gamma=50.69
Last column: nearest neighbours and their distance in Å.
Atoms (fractional coordinates):
Te  0.0506  0.0506  0.0000  4 Zn 2.85
Tl  0.3376  0.3376  0.0000  1 Zn 3.20, 1 Te 3.35
Zn  0.6118  0.6118  0.0000  4 Te 2.85